# ZnCu15

ZnCu15 after structural relaxation (PBE, OQMD).

The structure in extended XYZ format:
```
32
Lattice="3.6007 0.0000 0.0000 0.0000 3.6009 0.0000 0.0000 0.0000 42.1594" Properties=species:S:1:pos:R:3 pbc="T T T"
Cu 0.9002 0.0000 0.9050
Cu 2.7005 1.8005 0.9057
Cu 2.7005 0.0000 2.7111
Cu 0.9002 1.8005 2.7115
Cu 0.9002 0.0000 4.5208
Cu 2.7005 1.8005 4.5216
Cu 2.7005 0.0000 6.3286
Cu 0.9002 1.8005 6.3323
Cu 0.9002 0.0000 8.1371
Cu 2.7005 1.8005 8.1377
Cu 2.7005 0.0000 9.9378
Cu 0.9002 1.8005 9.9545
Cu 0.9002 0.0000 11.7500
Cu 2.7005 1.8005 11.7504
Cu 0.9002 1.8005 13.5654
Cu 2.7005 1.8005 28.5940
Cu 0.9002 1.8005 30.4091
Cu 2.7005 0.0000 30.4094
Cu 2.7005 1.8005 32.2049
Cu 0.9002 0.0000 32.2217
Cu 0.9002 1.8005 34.0218
Cu 2.7005 0.0000 34.0224
Cu 2.7005 1.8005 35.8271
Cu 0.9002 0.0000 35.8308
Cu 0.9002 1.8005 37.6378
Cu 2.7005 0.0000 37.6386
Cu 2.7005 1.8005 39.4480
Cu 0.9002 0.0000 39.4484
Cu 0.9002 1.8005 41.2537
Cu 2.7005 0.0000 41.2544
Zn 2.7005 0.0000 13.6562
Zn 0.9002 0.0000 28.5033
```

Polymorph energy (0 for the lowest one): 0.0 kJ/mol of formula units
Crystal system: orthorhombic
Raw total energy: -3.519 eV per atom
Energy relative to the elements: 45 meV per atom


# ZnCu15

ZnCu15 after structural relaxation (PBE, OQMD).

The structure in extended XYZ format:
```
32
Lattice="-4.6564 -0.1031 2.0937 -0.2029 -3.5247 -0.6249 13.8154 -6.1890 30.4197" Properties=species:S:1:pos:R:3 pbc="T T T"
Cu -1.6386 -2.7985 0.8878
Cu -3.9658 -2.8508 1.9385
Cu 0.1396 -1.2399 1.8054
Cu -2.1874 -1.2923 2.8562
Cu -0.6030 -3.2630 3.1714
Cu -2.9284 -3.3148 4.2186
Cu 1.1736 -1.7034 4.0834
Cu -1.1489 -1.7574 5.1422
Cu 0.4429 -3.7289 5.4596
Cu -1.8938 -3.7808 6.5112
Cu 2.2097 -2.1673 6.3634
Cu -0.1155 -2.2204 7.4180
Cu 1.4865 -4.2019 7.7886
Cu -0.8267 -4.2534 8.8299
Cu 0.9096 -2.6794 9.6741
Cu 8.0465 -7.1374 22.2144
Cu 9.7827 -5.5634 23.0585
Cu 7.4696 -5.6149 24.0999
Cu 9.0715 -7.5964 24.4704
Cu 6.7464 -7.6495 25.5251
Cu 10.8499 -6.0360 25.3772
Cu 8.5132 -6.0879 26.4288
Cu 10.1049 -8.0594 26.7463
Cu 7.7825 -8.1134 27.8051
Cu 11.8845 -6.5020 27.6698
Cu 9.5590 -6.5538 28.7171
Cu 11.1435 -8.5245 29.0322
Cu 8.8165 -8.5769 30.0831
Cu 12.9218 -6.9660 29.9499
Cu 10.5946 -7.0183 31.0007
Zn 3.2748 -2.6447 8.7104
Zn 5.6813 -7.1721 23.1780
```

Polymorph energy (0 for the lowest one): 51.9 kJ/mol of formula units
Crystal system: monoclinic
Raw total energy: -3.486 eV per atom
Energy relative to the elements: 78 meV per atom


# ZnCu15

ZnCu15 after structural relaxation (PBE, OQMD).

The structure in extended XYZ format:
```
32
Lattice="4.4039 0.0000 0.0000 0.0000 34.1687 0.0000 -1.4357 0.0000 4.1633" Properties=species:S:1:pos:R:3 pbc="T T T"
Cu 1.8430 7.5377 1.0408
Cu -0.3589 8.7278 1.0408
Cu 1.8430 10.0644 1.0408
Cu -0.3589 11.3251 1.0408
Cu 1.8430 12.6201 1.0408
Cu -0.3589 13.8845 1.0408
Cu 1.8430 15.1765 1.0408
Cu -0.3589 16.4410 1.0408
Cu 1.8430 17.7304 1.0408
Cu -0.3589 18.9955 1.0408
Cu 1.8430 20.2860 1.0408
Cu -0.3589 21.5446 1.0408
Cu 1.8430 22.8433 1.0408
Cu -0.3589 24.0752 1.0408
Cu 1.8430 25.4399 1.0408
Cu 1.1252 8.7289 3.1225
Cu -1.0768 10.0935 3.1225
Cu 1.1252 11.3254 3.1225
Cu -1.0768 12.6242 3.1225
Cu 1.1252 13.8827 3.1225
Cu -1.0768 15.1732 3.1225
Cu 1.1252 16.4383 3.1225
Cu -1.0768 17.7277 3.1225
Cu 1.1252 18.9922 3.1225
Cu -1.0768 20.2843 3.1225
Cu 1.1252 21.5487 3.1225
Cu -1.0768 22.8436 3.1225
Cu 1.1252 24.1044 3.1225
Cu -1.0768 25.4409 3.1225
Cu 1.1252 26.6311 3.1225
Zn -0.3589 26.6963 1.0408
Zn -1.0768 7.4725 3.1225
```

Polymorph energy (0 for the lowest one): 51.0 kJ/mol of formula units
Crystal system: monoclinic
Raw total energy: -3.486 eV per atom
Energy relative to the elements: 78 meV per atom


# ZrZnCu2

ZrZnCu2 after structural relaxation (PBE, OQMD).

The structure in extended XYZ format:
```
8
Lattice="2.1180 -3.6685 0.0000 2.1180 3.6685 0.0000 0.0000 0.0000 7.9382" Properties=species:S:1:pos:R:3 pbc="T T T"
Cu 2.1180 -1.2228 0.6971
Cu 2.1180 -1.2228 3.2720
Cu 2.1180 1.2228 4.6662
Cu 2.1180 1.2228 7.2411
Zn 0.0000 0.0000 0.0000
Zn 0.0000 0.0000 3.9691
Zr 2.1180 1.2228 1.9846
Zr 2.1180 -1.2228 5.9537
```

Crystal system: hexagonal
Raw total energy: -4.514 eV per atom
Energy relative to the elements: -202 meV per atom


# ZrZn2Cu

ZrZn2Cu after structural relaxation (PBE, OQMD).

The structure in extended XYZ format:
```
4
Lattice="1.1820 -3.0668 2.9674 -3.1027 -2.3552 2.1057 -0.5272 -4.2976 -0.9277" Properties=species:S:1:pos:R:3 pbc="T T T"
Cu -1.2239 -4.8598 2.0727
Zn 0.0000 0.0000 0.0000
Zn -1.8359 -7.2898 3.1090
Zr -0.6120 -2.4299 1.0363
```

Crystal system: cubic
Raw total energy: -3.907 eV per atom
Energy relative to the elements: -209 meV per atom


# ZrZn2Cu2

ZrZn2Cu2 after structural relaxation (PBE, OQMD).

The structure in extended XYZ format:
```
5
Lattice="-1.8610 1.8610 5.5178 1.8610 -1.8610 5.5178 1.8610 1.8610 -5.5178" Properties=species:S:1:pos:R:3 pbc="T T T"
Cu 0.0000 0.0000 4.3679
Cu 0.0000 0.0000 6.6677
Zn 0.0000 1.8610 2.7589
Zn 1.8610 0.0000 2.7589
Zr 0.0000 0.0000 0.0000
```

Crystal system: tetragonal
Raw total energy: -3.801 eV per atom
Energy relative to the elements: -99 meV per atom


> Look up the energy relative to the elements of the first one.

45 meV per atom